[1]
{
  "formula": "CrSb6Ru",
  "functional": "PBE",
  "state": "relaxed",
  "raw_formation_energy_kcal_per_mol_atoms": -0.8,
  "magnetic_moment_mub_per_atom": 0.398,
  "space_group": "C2/m (12)",
  "n_ef_per_ev_fu": 6.46,
  "cell": [[-7.507, -3.178, 0.177], [5.351, -5.767, -2.144], [1.902, 2.842, 7.496]],
  "species": ["Cr", "Cr", "Sb", "Sb", "Sb", "Sb", "Sb", "Sb", "Sb", "Sb", "Sb", "Sb", "Sb", "Sb", "Ru", "Ru"],
  "fractional_positions": [[0.000, 0.500, 0.000], [0.500, 0.000, 0.000], [0.154, 0.649, 0.803], [0.846, 0.351, 0.197], [0.846, 0.666, 0.512], [0.154, 0.334, 0.488], [0.812, 0.152, 0.652], [0.188, 0.848, 0.348], [0.500, 0.840, 0.652], [0.500, 0.160, 0.348], [0.664, 0.812, 0.162], [0.336, 0.188, 0.838], [0.651, 0.503, 0.838], [0.349, 0.497, 0.162], [0.000, 0.000, 0.500], [0.500, 0.500, 0.500]]
}

=====

[2]
{
  "formula": "HfOsSe2N",
  "functional": "PBE",
  "state": "relaxed",
  "raw_formation_energy_kcal_per_mol_atoms": 20.9,
  "magnetic_moment_mub_per_atom": 0.737,
  "space_group": "P4/mmm (123)",
  "relative_energy_ev_per_atom": 0.678,
  "n_ef_per_ev_fu": 6.00,
  "cell": [[5.216, 0.000, 0.000], [0.000, 5.216, 0.000], [0.000, 0.000, 3.944]],
  "species": ["Hf", "Os", "Se", "Se", "N"],
  "fractional_positions": [[0.000, 0.000, 0.000], [0.500, 0.500, 0.500], [0.000, 0.500, 0.000], [0.500, 0.000, 0.000], [0.000, 0.000, 0.500]]
}